# 1
LiHgSeN2 | the Alexandria database | PBE | relaxed; polymorph energy (0 for the lowest one) = 0.0 kJ per mole of atoms; total moment = 3.91 μB/cell; space group = P4/mmm (123); VASP energy = -2.97 eV per atom; E_form (uncorrected) = 7.49 eV per formula unit
1.0
4.337 0.000 0.000
0.000 4.337 0.000
0.000 0.000 5.654
Li Hg Se N
1 1 1 2
direct
0.000 0.000 0.000
0.500 0.500 0.500
0.500 0.500 0.000
0.000 0.500 0.500
0.500 0.000 0.500



# 2
Tb3Y | the Alexandria database | PBE | relaxed; polymorph energy (0 for the lowest one) = 0.6 kJ per mole of atoms; total moment = 0.00 μB/cell; space group = I4/mmm (139); VASP energy = -5.07 eV per atom; energy of formation from the pure elements = 16 meV/atom
1.0
5.033 0.000 0.000
0.000 5.033 0.000
0.000 0.000 10.099
Tb Y
6 2
direct
0.000 0.000 0.000
0.000 0.500 0.250
0.000 0.500 0.750
0.500 0.000 0.250
0.500 0.000 0.750
0.500 0.500 0.500
0.000 0.000 0.500
0.500 0.500 0.000



# 3
Zn8Cu2Rh | the Alexandria database | PBE | relaxed; polymorph energy (0 for the lowest one) = 2.3 kJ per mole of atoms; total moment = 0.00 μB/cell; space group = P1 (1); VASP energy = -2.44 eV per atom; energy of formation from the pure elements = -99 meV/atom
1.0
4.150 0.000 0.000
-0.002 6.142 0.000
-1.980 -3.068 6.240
Zn Cu Rh
8 2 1
direct
0.000 0.000 0.000
0.019 0.517 0.049
0.209 0.397 0.412
0.333 0.847 0.668
0.458 0.655 0.927
0.647 0.136 0.287
0.666 0.667 0.336
0.832 0.133 0.668
0.184 0.953 0.364
0.482 0.257 0.971
0.833 0.565 0.669



# 4
Be3BiO | the Alexandria database | PBE | relaxed; polymorph energy (0 for the lowest one) = 0.0 kJ per mole of atoms; total moment = 0.00 μB/cell; space group = Pm-3m (221); VASP energy = -3.95 eV per atom; E_form (uncorrected) = 0.28 eV per formula unit
1.0
3.961 0.000 0.000
0.000 3.961 0.000
0.000 0.000 3.961
Be Bi O
3 1 1
direct
0.000 0.000 0.500
0.000 0.500 0.000
0.500 0.000 0.000
0.500 0.500 0.500
0.000 0.000 0.000



# 5
Ac2HoTiS6 | the Alexandria database | PBE | relaxed; total moment = 1.00 μB/cell; space group = C2/m (12); VASP energy = -6.43 eV per atom; E_form (uncorrected) = -18.87 eV per formula unit
1.0
5.995 -3.475 0.000
5.995 3.475 0.000
-4.008 0.000 5.878
Ac Ho Ti S
2 1 1 6
direct
0.245 0.245 0.220
0.755 0.755 0.780
0.000 0.000 0.500
0.500 0.500 0.000
0.196 0.684 0.179
0.262 0.262 0.656
0.316 0.804 0.821
0.684 0.196 0.179
0.738 0.738 0.344
0.804 0.316 0.821



# 6
La2HgH | the Alexandria database | PBE | relaxed; polymorph energy (0 for the lowest one) = 7.1 kJ per mole of atoms; total moment = 0.41 μB/cell; space group = P-3m1 (164); VASP energy = -3.73 eV per atom
1.0
3.845 0.000 0.000
-1.923 3.330 0.000
0.000 0.000 7.908
La Hg H
2 1 1
direct
0.333 0.667 0.187
0.667 0.333 0.813
0.000 0.000 0.500
0.000 0.000 0.000



# 7
Al2P2N | the Alexandria database | PBE | relaxed; polymorph energy (0 for the lowest one) = 34.7 kJ per mole of atoms; total moment = 0.00 μB/cell; space group = P4/mbm (127); VASP energy = -4.67 eV per atom; E_form (uncorrected) = 3.29 eV per formula unit
1.0
6.356 0.000 0.000
0.000 6.356 0.000
0.000 0.000 3.611
Al P N
4 4 2
direct
0.139 0.361 0.000
0.361 0.861 0.000
0.639 0.139 0.000
0.861 0.639 0.000
0.195 0.695 0.500
0.305 0.195 0.500
0.695 0.805 0.500
0.805 0.305 0.500
0.000 0.000 0.500
0.500 0.500 0.500



# 8
YAl10Ru2 | the Alexandria database | PBE | relaxed; total moment = 0.00 μB/cell; space group = Cmcm (63); VASP energy = -5.33 eV per atom; energy of formation from the pure elements = -522 meV/atom
1.0
4.550 -5.117 0.000
4.550 5.117 0.000
0.000 0.000 9.152
Y Al Ru
2 20 4
direct
0.128 0.872 0.750
0.872 0.128 0.250
0.142 0.412 0.750
0.157 0.843 0.100
0.157 0.843 0.400
0.219 0.480 0.250
0.225 0.225 0.000
0.225 0.225 0.500
0.377 0.623 0.548
0.377 0.623 0.952
0.412 0.142 0.250
0.480 0.219 0.750
0.520 0.781 0.250
0.588 0.858 0.750
0.623 0.377 0.048
0.623 0.377 0.452
0.775 0.775 0.000
0.775 0.775 0.500
0.781 0.520 0.750
0.843 0.157 0.600
0.843 0.157 0.900
0.858 0.588 0.250
0.000 0.500 0.000
0.000 0.500 0.500
0.500 0.000 0.000
0.500 0.000 0.500



# 9
Ba2LiOs | the Alexandria database | PBE | relaxed; polymorph energy (0 for the lowest one) = 32.1 kJ per mole of atoms; total moment = 0.00 μB/cell; space group = F-43m (216); VASP energy = -3.48 eV per atom; energy of formation from the pure elements = 769 meV/atom
1.0
7.557 0.000 0.000
0.000 7.557 0.000
0.000 0.000 7.557
Ba Li Os
8 4 4
direct
0.000 0.000 0.000
0.000 0.500 0.500
0.250 0.250 0.250
0.250 0.750 0.750
0.500 0.000 0.500
0.500 0.500 0.000
0.750 0.250 0.750
0.750 0.750 0.250
0.250 0.250 0.750
0.250 0.750 0.250
0.750 0.250 0.250
0.750 0.750 0.750
0.000 0.000 0.500
0.000 0.500 0.000
0.500 0.000 0.000
0.500 0.500 0.500



# 10
Ca2Sn4Pd3Pt | the Alexandria database | PBE | relaxed; total moment = 0.00 μB/cell; space group = P-4m2 (115); VASP energy = -4.85 eV per atom; energy of formation from the pure elements = -686 meV/atom
1.0
4.513 0.000 0.000
0.000 4.513 0.000
0.000 0.000 11.171
Ca Sn Pd Pt
2 4 3 1
direct
0.000 0.500 0.244
0.500 0.000 0.756
0.000 0.000 0.500
0.000 0.500 0.872
0.500 0.000 0.128
0.500 0.500 0.500
0.000 0.000 0.000
0.000 0.500 0.638
0.500 0.000 0.362
0.500 0.500 0.000



# 11
CdSeO4 | the Alexandria database | PBE | relaxed; total moment = 0.00 μB/cell; space group = Imma (74); VASP energy = -4.85 eV per atom; E_form (uncorrected) = -4.87 eV per formula unit
1.0
-2.876 3.768 3.851
2.876 -3.768 3.851
2.876 3.768 -3.851
Cd Se O
2 2 8
direct
0.000 0.000 0.000
0.500 0.000 0.500
0.340 0.590 0.750
0.660 0.410 0.250
0.218 0.222 0.504
0.218 0.714 0.996
0.266 0.704 0.562
0.358 0.296 0.062
0.642 0.704 0.938
0.734 0.296 0.438
0.782 0.286 0.004
0.782 0.778 0.496



# 12
NaTeHN2 | the Alexandria database | PBE | relaxed; polymorph energy (0 for the lowest one) = 73.2 kJ per mole of atoms; total moment = 4.98 μB/cell; space group = P4/mmm (123); VASP energy = -2.54 eV per atom
1.0
4.480 0.000 0.000
0.000 4.480 0.000
0.000 0.000 6.267
Na Te H N
1 1 1 2
direct
0.000 0.000 0.000
0.000 0.000 0.500
0.500 0.500 0.500
0.000 0.500 0.000
0.500 0.000 0.000



# 13
Sr3Ac2Au2 | the Alexandria database | PBE | relaxed; total moment = 0.00 μB/cell; space group = P-1 (2); VASP energy = -3.28 eV per atom; energy of formation from the pure elements = -447 meV/atom
1.0
4.128 0.000 0.000
2.059 7.080 0.000
2.061 2.361 9.244
Sr Ac Au
3 2 2
direct
0.000 0.000 0.000
0.115 0.202 0.568
0.885 0.798 0.432
0.322 0.537 0.819
0.678 0.463 0.181
0.324 0.113 0.238
0.676 0.887 0.762



# 14
MnNb3W | the Alexandria database | PBE | relaxed; polymorph energy (0 for the lowest one) = 0.0 kJ per mole of atoms; total moment = 0.00 μB/cell; space group = Pm-3m (221); VASP energy = -9.46 eV per atom; energy of formation from the pure elements = 1010 meV/atom
1.0
4.539 0.000 0.000
0.000 4.539 0.000
0.000 0.000 4.539
Mn Nb W
1 3 1
direct
0.000 0.000 0.000
0.000 0.000 0.500
0.000 0.500 0.000
0.500 0.000 0.000
0.500 0.500 0.500



# 15
CaSmGa | the Alexandria database | PBE | relaxed; polymorph energy (0 for the lowest one) = 0.0 kJ per mole of atoms; total moment = 0.00 μB/cell; space group = P6_3/mmc (194); VASP energy = -3.67 eV per atom; energy of formation from the pure elements = -417 meV/atom
1.0
5.265 0.000 0.000
-2.633 4.560 0.000
0.000 0.000 6.760
Ca Sm Ga
2 2 2
direct
0.000 0.000 0.000
0.000 0.000 0.500
0.333 0.667 0.250
0.667 0.333 0.750
0.333 0.667 0.750
0.667 0.333 0.250



# 16
Pu3Zn4Ga2 | the Alexandria database | PBE | relaxed; total moment = 16.42 μB/cell; space group = C2/m (12); VASP energy = -6.28 eV per atom; energy of formation from the pure elements = -265 meV/atom
1.0
5.056 -2.358 0.000
5.056 2.358 0.000
-4.801 0.000 7.252
Pu Zn Ga
3 4 2
direct
0.000 0.000 0.000
0.332 0.332 0.333
0.668 0.668 0.667
0.059 0.059 0.394
0.282 0.282 0.951
0.718 0.718 0.049
0.941 0.941 0.606
0.390 0.390 0.723
0.610 0.610 0.277



# 17
HoGeSe3 | the Alexandria database | PBE | relaxed; polymorph energy (0 for the lowest one) = 5.1 kJ per mole of atoms; total moment = 0.00 μB/cell; space group = Pna2_1 (33); VASP energy = -4.86 eV per atom; E_form (uncorrected) = -4.64 eV per formula unit
1.0
7.338 0.000 0.000
0.000 6.675 0.000
0.000 0.000 10.818
Ho Ge Se
4 4 12
direct
0.129 0.082 0.000
0.371 0.582 0.500
0.629 0.418 0.000
0.871 0.918 0.500
0.107 0.557 0.159
0.393 0.057 0.659
0.607 0.943 0.159
0.893 0.443 0.659
0.124 0.754 0.675
0.125 0.247 0.524
0.145 0.787 0.333
0.355 0.287 0.833
0.375 0.747 0.024
0.376 0.254 0.175
0.624 0.746 0.675
0.625 0.253 0.524
0.645 0.713 0.333
0.855 0.213 0.833
0.875 0.753 0.024
0.876 0.246 0.175



# 18
NaHgC3 | the Alexandria database | PBE | relaxed; total moment = 0.00 μB/cell; space group = Pm-3m (221); VASP energy = -2.19 eV per atom; energy of formation from the pure elements = 3664 meV/atom
1.0
4.369 0.000 0.000
0.000 4.369 0.000
0.000 0.000 4.369
Na Hg C
1 1 3
direct
0.000 0.000 0.000
0.500 0.500 0.500
0.000 0.000 0.500
0.000 0.500 0.000
0.500 0.000 0.000



# 19
Pm4Pr2Sn3H2 | the Alexandria database | PBE | relaxed; total moment = 0.00 μB/cell; space group = I4/mmm (139); VASP energy = -4.87 eV per atom
1.0
-2.405 2.405 12.891
2.405 -2.405 12.891
2.405 2.405 -12.891
Pm Pr Sn H
4 2 3 2
direct
0.082 0.582 0.500
0.418 0.918 0.500
0.582 0.082 0.500
0.918 0.418 0.500
0.200 0.200 0.000
0.800 0.800 0.000
0.327 0.327 0.000
0.500 0.500 0.000
0.673 0.673 0.000
0.101 0.101 0.000
0.899 0.899 0.000



# 20
TiMnSi2Cl | the Alexandria database | PBE | relaxed; total moment = 4.25 μB/cell; space group = P4/mmm (123); VASP energy = -5.43 eV per atom; E_form (uncorrected) = 2.62 eV per formula unit
1.0
4.904 0.000 0.000
0.000 4.904 0.000
0.000 0.000 4.618
Ti Mn Si Cl
1 1 2 1
direct
0.000 0.000 0.000
0.500 0.500 0.500
0.000 0.500 0.000
0.500 0.000 0.000
0.000 0.000 0.500



# 21
Sr2MgGe3Pd4 | the Alexandria database | PBE | relaxed; total moment = 0.00 μB/cell; space group = P-4m2 (115); VASP energy = -4.66 eV per atom; energy of formation from the pure elements = -707 meV/atom
1.0
4.394 0.000 0.000
0.000 4.394 0.000
0.000 0.000 10.668
Sr Mg Ge Pd
2 1 3 4
direct
0.000 0.500 0.243
0.500 0.000 0.757
0.000 0.000 0.500
0.000 0.500 0.878
0.500 0.000 0.122
0.500 0.500 0.500
0.000 0.000 0.000
0.000 0.500 0.639
0.500 0.000 0.361
0.500 0.500 0.000



# 22
Tb3Ni7B2 | the Alexandria database | PBE | relaxed; total moment = 0.00 μB/cell; space group = P6_3/mmc (194); VASP energy = -6.14 eV per atom; energy of formation from the pure elements = -495 meV/atom
1.0
5.098 0.000 0.000
-2.549 4.415 0.000
0.000 0.000 14.333
Tb Ni B
6 14 4
direct
0.333 0.667 0.032
0.333 0.667 0.250
0.333 0.667 0.468
0.667 0.333 0.532
0.667 0.333 0.750
0.667 0.333 0.968
0.000 0.000 0.000
0.000 0.000 0.500
0.165 0.331 0.650
0.165 0.331 0.850
0.165 0.835 0.650
0.165 0.835 0.850
0.331 0.165 0.150
0.331 0.165 0.350
0.669 0.835 0.650
0.669 0.835 0.850
0.835 0.165 0.150
0.835 0.165 0.350
0.835 0.669 0.150
0.835 0.669 0.350
0.000 0.000 0.250
0.000 0.000 0.750
0.333 0.667 0.750
0.667 0.333 0.250



# 23
Rb4PaTe4 | the Alexandria database | PBE | relaxed; total moment = 1.00 μB/cell; space group = I-42m (121); VASP energy = -3.77 eV per atom; E_form (uncorrected) = -8.01 eV per formula unit
1.0
-4.369 4.369 7.525
4.369 -4.369 7.525
4.369 4.369 -7.525
Rb Pa Te
4 1 4
direct
0.000 0.500 0.500
0.201 0.201 0.000
0.500 0.000 0.500
0.799 0.799 0.000
0.500 0.500 0.000
0.191 0.582 0.000
0.418 0.418 0.609
0.582 0.191 0.000
0.809 0.809 0.391